(1)
K2Y2PtO6 | GGA-PBE | relaxed

Calculated values
spin magnetization: 0.00 μB/f.u.
E_form (uncorrected): -2.139 eV/atom
E: -6.77 eV/atom

a = 5.7864 Å, b = 5.7864 Å, c = 6.5946 Å
α = 97.61°, β = 97.61°, γ = 119.56°
Fractional positions:
K 0.1596 0.8404 0.0000
K 0.8404 0.1596 0.0000
Y 0.3355 0.6645 0.5000
Y 0.6645 0.3355 0.5000
Pt 0.0000 0.0000 0.5000
O 0.0482 0.3620 0.6738
O 0.2518 0.2518 0.3231
O 0.3620 0.0482 0.6738
O 0.6380 0.9518 0.3262
O 0.7482 0.7482 0.6769
O 0.9518 0.6380 0.3262

(2)
Nb3VRh6 | GGA-PBE | relaxed

Calculated values
ΔH_f (0 K): -0.13 eV per atom
spin magnetization: 0.00 μB/f.u.
E: -8.47 eV/atom

a = 6.1107 Å, b = 6.1107 Å, c = 7.1717 Å
α = 124.12°, β = 124.12°, γ = 50.77°
Fractional positions:
Nb 0.0000 0.0000 0.0000
Nb 0.4960 0.4960 0.2391
Nb 0.5040 0.5040 0.7609
V 0.0000 0.0000 0.5000
Rh 0.0111 0.5149 0.1934
Rh 0.1962 0.1962 0.4460
Rh 0.4851 0.9889 0.8066
Rh 0.5149 0.0111 0.1934
Rh 0.8038 0.8038 0.5540
Rh 0.9889 0.4851 0.8066

(3)
KSr2CrCl8 | GGA-PBE | relaxed

Calculated values
spin magnetization: 3.00 μB/f.u.
E_form (uncorrected): -1.876 eV/atom
E: -4.28 eV/atom

a = 6.3273 Å, b = 8.8392 Å, c = 6.4767 Å
α = 90.00°, β = 90.33°, γ = 90.00°
Fractional positions:
K 0.0000 0.0000 0.0000
Sr 0.5000 0.2577 0.5000
Sr 0.5000 0.7423 0.5000
Cr 0.0000 0.5000 0.0000
Cl 0.2127 0.3082 0.1491
Cl 0.2127 0.6918 0.1491
Cl 0.2291 0.5000 0.7000
Cl 0.2675 0.0000 0.6300
Cl 0.7325 0.0000 0.3700
Cl 0.7709 0.5000 0.3000
Cl 0.7873 0.3082 0.8509
Cl 0.7873 0.6918 0.8509

(4)
PaCo2 | GGA-PBE | relaxed

Calculated values
ΔH_f (0 K): -0.38 eV per atom
spin magnetization: 0.00 μB/f.u.
E: -8.28 eV/atom

a = 4.9654 Å, b = 4.9654 Å, c = 4.9654 Å
α = 60.00°, β = 60.00°, γ = 60.00°
Fractional positions:
Pa 0.1250 0.1250 0.1250
Pa 0.8750 0.8750 0.8750
Co 0.0000 0.5000 0.5000
Co 0.5000 0.0000 0.5000
Co 0.5000 0.5000 0.0000
Co 0.5000 0.5000 0.5000

(5)
HgGeSb2Te | GGA-PBE | relaxed

Calculated values
spin magnetization: 0.00 μB/f.u.
E_form (uncorrected): 0.539 eV/atom
E: -2.72 eV/atom

a = 5.4334 Å, b = 5.4334 Å, c = 5.4473 Å
α = 90.00°, β = 90.00°, γ = 90.00°
Fractional positions:
Hg 0.0000 0.0000 0.0000
Ge 0.5000 0.5000 0.5000
Sb 0.0000 0.5000 0.5000
Sb 0.5000 0.0000 0.5000
Te 0.5000 0.5000 0.0000

(6)
Tb2YS | GGA-PBE | relaxed

Calculated values
spin magnetization: 0.72 μB/f.u.
E_form (uncorrected): -0.734 eV/atom
E: -5.70 eV/atom

a = 3.6782 Å, b = 3.6782 Å, c = 30.1302 Å
α = 90.00°, β = 90.00°, γ = 120.00°
Fractional positions:
Tb 0.0000 0.0000 0.1120
Tb 0.0000 0.0000 0.8880
Tb 0.3333 0.6667 0.5547
Tb 0.3333 0.6667 0.7787
Tb 0.6667 0.3333 0.2213
Tb 0.6667 0.3333 0.4453
Y 0.0000 0.0000 0.0000
Y 0.3333 0.6667 0.6667
Y 0.6667 0.3333 0.3333
S 0.0000 0.0000 0.5000
S 0.3333 0.6667 0.1667
S 0.6667 0.3333 0.8333

(7)
Cs2TlBr2F4 | GGA-PBE | relaxed

Calculated values
spin magnetization: 0.89 μB/f.u.
E_form (uncorrected): -1.753 eV/atom
E: -3.41 eV/atom

a = 6.8139 Å, b = 6.8139 Å, c = 6.8139 Å
α = 112.83°, β = 112.83°, γ = 102.94°
Fractional positions:
Cs 0.2500 0.7500 0.5000
Cs 0.7500 0.2500 0.5000
Tl 0.0000 0.0000 0.0000
Br 0.3374 0.3374 0.0000
Br 0.6626 0.6626 0.0000
F 0.2024 0.2024 0.4048
F 0.2024 0.7976 0.0000
F 0.7976 0.2024 0.0000
F 0.7976 0.7976 0.5952

(8)
PrMg2Sc | GGA-PBE | relaxed

Calculated values
ΔH_f (0 K): 0.06 eV per atom
spin magnetization: 0.00 μB/f.u.
E: -3.51 eV/atom

a = 3.3548 Å, b = 3.3548 Å, c = 33.4111 Å
α = 90.00°, β = 90.00°, γ = 120.00°
Fractional positions:
Pr 0.0000 0.0000 0.0000
Pr 0.3333 0.6667 0.6667
Pr 0.6667 0.3333 0.3333
Mg 0.0000 0.0000 0.5791
Mg 0.0000 0.0000 0.7566
Mg 0.3333 0.6667 0.2458
Mg 0.3333 0.6667 0.4233
Mg 0.6667 0.3333 0.0900
Mg 0.6667 0.3333 0.9124
Sc 0.0000 0.0000 0.1686
Sc 0.3333 0.6667 0.8353
Sc 0.6667 0.3333 0.5019

(9)
ZnFeNi2 | GGA-PBE | relaxed

Calculated values
ΔH_f (0 K): -0.13 eV per atom
spin magnetization: 3.50 μB/f.u.
E: -5.46 eV/atom

a = 2.6079 Å, b = 2.6079 Å, c = 6.9026 Å
α = 90.00°, β = 90.00°, γ = 90.00°
Fractional positions:
Zn 0.0000 0.0000 0.0000
Fe 0.0000 0.0000 0.5000
Ni 0.5000 0.5000 0.2556
Ni 0.5000 0.5000 0.7444

(10)
Mg4Ag4Hg | GGA-PBE | relaxed

Calculated values
ΔH_f (0 K): -0.03 eV per atom
spin magnetization: 0.00 μB/f.u.
E: -2.04 eV/atom

a = 6.3772 Å, b = 6.3772 Å, c = 9.5597 Å
α = 90.00°, β = 90.00°, γ = 90.00°
Fractional positions:
Mg 0.0012 0.2500 0.0156
Mg 0.2500 0.0012 0.5156
Mg 0.2500 0.4988 0.5156
Mg 0.4988 0.2500 0.0156
Mg 0.5012 0.7500 0.9844
Mg 0.7500 0.5012 0.4844
Mg 0.7500 0.9988 0.4844
Mg 0.9988 0.7500 0.9844
Ag 0.0271 0.2500 0.3221
Ag 0.2500 0.0271 0.8221
Ag 0.2500 0.4729 0.8221
Ag 0.4729 0.2500 0.3221
Ag 0.5271 0.7500 0.6779
Ag 0.7500 0.5271 0.1779
Ag 0.7500 0.9729 0.1779
Ag 0.9729 0.7500 0.6779
Hg 0.2500 0.7500 0.2500
Hg 0.7500 0.2500 0.7500

(11)
Sc2NbRe | GGA-PBE | relaxed

Calculated values
ΔH_f (0 K): 0.61 eV per atom
spin magnetization: 0.00 μB/f.u.
E: -8.19 eV/atom

a = 7.5912 Å, b = 7.5912 Å, c = 5.5708 Å
α = 90.00°, β = 90.00°, γ = 90.00°
Fractional positions:
Sc 0.2204 0.7500 0.1250
Sc 0.2500 0.2204 0.8750
Sc 0.2500 0.2796 0.3750
Sc 0.2796 0.7500 0.6250
Sc 0.7204 0.2500 0.6250
Sc 0.7500 0.7204 0.3750
Sc 0.7500 0.7796 0.8750
Sc 0.7796 0.2500 0.1250
Nb 0.0000 0.0000 0.5000
Nb 0.0000 0.5000 0.7500
Nb 0.5000 0.0000 0.2500
Nb 0.5000 0.5000 0.0000
Re 0.0000 0.0000 0.0000
Re 0.0000 0.5000 0.2500
Re 0.5000 0.0000 0.7500
Re 0.5000 0.5000 0.5000

(12)
Cs2CuTcCl6 | GGA-PBE | relaxed

Calculated values
spin magnetization: 2.36 μB/f.u.
E_form (uncorrected): -1.093 eV/atom
E: -3.82 eV/atom

a = 7.4049 Å, b = 7.4049 Å, c = 7.4049 Å
α = 123.80°, β = 123.80°, γ = 83.54°
Fractional positions:
Cs 0.2500 0.7500 0.5000
Cs 0.7500 0.2500 0.5000
Cu 0.0000 0.0000 0.0000
Tc 0.5000 0.5000 0.0000
Cl 0.2482 0.2482 0.4965
Cl 0.2482 0.7518 0.0000
Cl 0.2816 0.2816 0.0000
Cl 0.7184 0.7184 0.0000
Cl 0.7518 0.2482 0.0000
Cl 0.7518 0.7518 0.5035

Among the records above, which one has the highest spin magnetization? ZnFeNi2